No. 1
Compound: K2AsRh2
Source: the Alexandria database
Functional: PBE
Structure: optimized geometry

Cell: 6.3258 6.3258 5.5987 Å, 90.00 90.00 90.00°
Positions (direct):
Rh 0.1472 0.3528 0.0000
Rh 0.8528 0.6472 0.0000
Rh 0.6472 0.1472 0.0000
Rh 0.3528 0.8528 0.0000
As 0.5000 0.5000 0.0000
As 0.0000 0.0000 0.0000
K 0.8231 0.3231 0.5000
K 0.6769 0.8231 0.5000
K 0.1769 0.6769 0.5000
K 0.3231 0.1769 0.5000

electronic total energy: -4.403 eV per atom
V: 224 Å³/cell
magnetization: 0.00 μB/f.u.
formation energy from the elements: -0.09 eV/atom


No. 2
Compound: KAs2Rh
Source: the Alexandria database
Functional: PBE
Structure: optimized geometry

Cell: 4.2041 2.9582 6.9069 Å, 90.02 90.00 90.00°
Positions (direct):
K 0.5000 0.2500 0.2500
As 0.0000 0.7494 0.5589
As 0.0000 0.7506 0.9411
Rh 0.5000 0.7500 0.7500

electronic total energy: -4.674 eV per atom
V: 86 Å³/cell
magnetization: 0.00 μB/f.u.
formation energy from the elements: -0.24 eV/atom
energy above the lowest structure with this stoichiometry: 161 meV per atom


No. 3
Compound: K2As2Rh
Source: the Alexandria database
Functional: PBE
Structure: optimized geometry

Cell: 6.4634 6.4634 5.5720 Å, 90.00 90.00 90.00°
Positions (direct):
As 0.3618 0.8618 0.0000
As 0.8618 0.6382 0.0000
As 0.6382 0.1382 0.0000
As 0.1382 0.3618 0.0000
K 0.8221 0.3221 0.5000
K 0.1779 0.6779 0.5000
K 0.3221 0.1779 0.5000
K 0.6779 0.8221 0.5000
Rh 0.5000 0.5000 0.0000
Rh 0.0000 0.0000 0.0000

electronic total energy: -4.162 eV per atom
V: 233 Å³/cell
magnetization: 0.00 μB/f.u.
formation energy from the elements: -0.39 eV/atom


No. 4
Compound: KAsRh
Source: the Alexandria database
Functional: PBE
Structure: optimized geometry

Cell: 6.5252 6.5252 6.5252 Å, 150.75 150.72 41.86°
Positions (direct):
K 0.6658 0.6658 0.0000
As 0.9556 0.9556 0.0000
Rh 0.3786 0.3786 0.0000

electronic total energy: -4.657 eV per atom
V: 66 Å³/cell
magnetization: 0.00 μB/f.u.
formation energy from the elements: -0.29 eV/atom


No. 5
Compound: KAsRh
Source: the Alexandria database
Functional: PBE
Structure: optimized geometry

Cell: 4.1132 4.1132 5.3791 Å, 90.00 90.00 120.00°
Positions (direct):
Rh 0.6667 0.3333 0.8332
K 0.3333 0.6667 0.3334
As 0.0000 0.0000 0.8334

electronic total energy: -4.663 eV per atom
V: 79 Å³/cell
magnetization: 0.00 μB/f.u.
formation energy from the elements: -0.30 eV/atom


No. 6
Compound: KAs2Rh
Source: the Alexandria database
Functional: PBE
Structure: optimized geometry

Cell: 4.8207 4.8207 4.8207 Å, 60.00 60.00 60.00°
Positions (direct):
As 0.2500 0.2500 0.2500
As 0.0000 0.0000 0.0000
Rh 0.7500 0.7500 0.7500
K 0.5000 0.5000 0.5000

electronic total energy: -3.946 eV per atom
V: 79 Å³/cell
magnetization: 0.00 μB/f.u.
formation energy from the elements: 0.49 eV/atom
energy above the lowest structure with this stoichiometry: 889 meV per atom


No. 7
Compound: KAs2Rh
Source: the Alexandria database
Functional: PBE
Structure: optimized geometry

Cell: 4.9419 4.9419 6.2493 Å, 76.17 76.17 42.05°
Positions (direct):
Rh 0.2825 0.2825 0.1003
As 0.9905 0.9905 0.0211
As 0.7205 0.7205 0.8747
K 0.5065 0.5065 0.5039

electronic total energy: -4.619 eV per atom
V: 99 Å³/cell
magnetization: 0.00 μB/f.u.
formation energy from the elements: -0.18 eV/atom
energy above the lowest structure with this stoichiometry: 216 meV per atom


No. 8
Compound: KAs2Rh2
Source: the Alexandria database
Functional: PBE
Structure: optimized geometry

Cell: 4.0444 4.0444 7.3013 Å, 73.91 73.91 90.01°
Positions (direct):
Rh 0.7500 0.2500 0.5000
Rh 0.2500 0.7500 0.5000
As 0.3533 0.3533 0.2936
As 0.6467 0.6467 0.7064
K 0.0000 0.0000 0.0000

electronic total energy: -5.643 eV per atom
V: 110 Å³/cell
magnetization: 0.00 μB/f.u.
formation energy from the elements: -0.62 eV/atom


No. 9
Compound: KAs2Rh2
Source: the Alexandria database
Functional: PBE
Structure: optimized geometry

Cell: 7.8890 7.8890 2.9635 Å, 90.00 90.00 90.00°
Positions (direct):
As 0.1453 0.6453 0.5000
As 0.6453 0.8547 0.5000
As 0.8547 0.3547 0.5000
As 0.3547 0.1453 0.5000
K 0.0000 0.0000 0.0000
K 0.5000 0.5000 0.0000
Rh 0.8746 0.6254 0.0000
Rh 0.1254 0.3746 0.0000
Rh 0.6254 0.1254 0.0000
Rh 0.3746 0.8746 0.0000

electronic total energy: -5.193 eV per atom
V: 184 Å³/cell
magnetization: 0.00 μB/f.u.
formation energy from the elements: -0.17 eV/atom


No. 10
Compound: KAsRh
Source: the Alexandria database
Functional: PBE
Structure: optimized geometry

Cell: 4.7582 4.7582 4.7582 Å, 60.00 60.00 60.00°
Positions (direct):
K 0.7500 0.7500 0.7500
As 0.5000 0.5000 0.5000
Rh 0.0000 0.0000 0.0000

electronic total energy: -3.108 eV per atom
V: 76 Å³/cell
magnetization: 0.00 μB/f.u.
formation energy from the elements: 1.26 eV/atom


No. 11
Compound: KAs2Rh
Source: the Alexandria database
Functional: PBE
Structure: optimized geometry

Cell: 6.9108 6.9108 6.9108 Å, 145.44 145.44 49.67°
Positions (direct):
Rh 0.2500 0.7500 0.5000
As 0.3427 0.3427 0.0000
As 0.6573 0.6573 0.0000
K 0.0000 0.0000 0.0000

electronic total energy: -4.654 eV per atom
V: 106 Å³/cell
magnetization: 0.00 μB/f.u.
formation energy from the elements: -0.22 eV/atom
energy above the lowest structure with this stoichiometry: 182 meV per atom


No. 12
Compound: KAs2Rh
Source: the Alexandria database
Functional: PBE
Structure: optimized geometry

Cell: 6.6438 6.6438 6.6438 Å, 36.89 36.89 36.89°
Positions (direct):
Rh 0.7500 0.7500 0.7500
As 0.4577 0.4577 0.4577
As 0.0423 0.0423 0.0423
K 0.2500 0.2500 0.2500

electronic total energy: -4.835 eV per atom
V: 95 Å³/cell
magnetization: 0.00 μB/f.u.
formation energy from the elements: -0.40 eV/atom
energy above the lowest structure with this stoichiometry: 0 meV per atom


No. 13
Compound: KAsRh
Source: the Alexandria database
Functional: PBE
Structure: optimized geometry

Cell: 4.5832 4.5832 4.5832 Å, 60.00 60.00 60.00°
Positions (direct):
Rh 0.7500 0.7500 0.7500
K 0.5000 0.5000 0.5000
As 0.0000 0.0000 0.0000

electronic total energy: -4.011 eV per atom
V: 68 Å³/cell
magnetization: 0.00 μB/f.u.
formation energy from the elements: 0.36 eV/atom


No. 14
Compound: KAs2Rh
Source: the Alexandria database
Functional: PBE
Structure: optimized geometry

Cell: 3.5598 3.8897 6.7618 Å, 89.99 90.00 90.00°
Positions (direct):
Rh 0.5000 0.6250 0.9562
As 0.0000 0.1250 0.8873
As 0.5000 0.1250 0.1770
K 0.0000 0.6250 0.4795

electronic total energy: -4.628 eV per atom
V: 94 Å³/cell
magnetization: 0.00 μB/f.u.
formation energy from the elements: -0.19 eV/atom
energy above the lowest structure with this stoichiometry: 207 meV per atom


No. 15
Compound: KAs2Rh3
Source: the Alexandria database
Functional: PBE
Structure: optimized geometry

Cell: 3.9895 8.0297 8.5778 Å, 113.21 90.00 104.38°
Positions (direct):
As 0.1839 0.3679 0.6404
As 0.5214 0.0429 0.2113
As 0.4786 0.9571 0.7887
As 0.8161 0.6321 0.3596
Rh 0.9598 0.9196 0.6163
Rh 0.0402 0.0804 0.3837
Rh 0.4076 0.8152 0.3437
Rh 0.6820 0.3640 0.4374
Rh 0.3180 0.6360 0.5626
Rh 0.5924 0.1848 0.6563
K 0.1502 0.3003 0.0604
K 0.8498 0.6997 0.9396

electronic total energy: -5.867 eV per atom
V: 243 Å³/cell
magnetization: 0.00 μB/f.u.
formation energy from the elements: -0.46 eV/atom


No. 16
Compound: KAs2Rh
Source: the Alexandria database
Functional: PBE
Structure: optimized geometry

Cell: 3.4275 3.4262 7.5651 Å, 90.00 90.00 90.00°
Positions (direct):
As 0.0000 0.0000 0.9617
As 0.5000 0.5000 0.1860
Rh 0.5000 0.5000 0.8550
K 0.0000 0.0000 0.4973

electronic total energy: -4.451 eV per atom
V: 89 Å³/cell
magnetization: 0.00 μB/f.u.
formation energy from the elements: -0.01 eV/atom
energy above the lowest structure with this stoichiometry: 384 meV per atom


No. 17
Compound: KAs2Rh
Source: the Alexandria database
Functional: PBE
Structure: optimized geometry

Cell: 4.7427 4.7427 4.7427 Å, 60.00 60.00 60.00°
Positions (direct):
K 0.0000 0.0000 0.0000
As 0.2500 0.2500 0.2500
As 0.7500 0.7500 0.7500
Rh 0.5000 0.5000 0.5000

electronic total energy: -4.278 eV per atom
V: 75 Å³/cell
magnetization: 0.00 μB/f.u.
formation energy from the elements: 0.16 eV/atom
energy above the lowest structure with this stoichiometry: 558 meV per atom


No. 18
Compound: K3AsRh
Source: the Alexandria database
Functional: PBE
Structure: optimized geometry

Cell: 5.6722 5.6722 5.6722 Å, 90.00 90.00 90.00°
Last column: magnetic moment on the atom in μB.
Positions (direct):
Rh 0.0000 0.0000 0.0000  0.16
As 0.5000 0.5000 0.5000  0.49
K 0.5000 0.0000 0.0000  -0.01
K 0.0000 0.0000 0.5000  0.00
K 0.0000 0.5000 0.0000  0.00

electronic total energy: -2.400 eV per atom
V: 182 Å³/cell
magnetization: 1.27 μB/f.u.
formation energy from the elements: 0.66 eV/atom
energy above the lowest structure with this stoichiometry: 0 meV per atom


No. 19
Compound: KAsRh3
Source: the Alexandria database
Functional: PBE
Structure: optimized geometry

Cell: 4.7139 4.7139 4.7139 Å, 90.00 90.00 90.00°
Last column: magnetic moment on the atom in μB.
Positions (direct):
Rh 0.5000 0.0000 0.0000  0.37
Rh 0.0000 0.5000 0.0000  0.46
Rh 0.0000 0.0000 0.5000  0.35
As 0.5000 0.5000 0.5000  -0.02
K 0.0000 0.0000 0.0000  -0.01

electronic total energy: -3.393 eV per atom
V: 105 Å³/cell
magnetization: 1.13 μB/f.u.
formation energy from the elements: 2.17 eV/atom
energy above the lowest structure with this stoichiometry: 1879 meV per atom


No. 20
Compound: KAs2Rh
Source: the Alexandria database
Functional: PBE
Structure: optimized geometry

Cell: 7.4208 7.4208 6.6405 Å, 56.03 56.03 90.00°
Positions (direct):
As 0.0163 0.6250 0.2500
As 0.3750 0.2663 0.7500
As 0.7337 0.1250 0.2500
As 0.8750 0.9837 0.7500
K 0.5000 0.5000 0.0000
K 0.2500 0.7500 0.5000
Rh 0.0000 0.0000 0.0000
Rh 0.7500 0.2500 0.5000

electronic total energy: -4.601 eV per atom
V: 224 Å³/cell
magnetization: 0.00 μB/f.u.
formation energy from the elements: -0.16 eV/atom
energy above the lowest structure with this stoichiometry: 234 meV per atom


No. 21
Compound: K4AsRh
Source: the Alexandria database
Functional: PBE
Structure: optimized geometry

Cell: 6.3737 6.3737 6.3737 Å, 60.00 60.00 60.00°
Last column: magnetic moment on the atom in μB.
Positions (direct):
As 0.0000 0.0000 0.0000  0.03
Rh 0.7500 0.7500 0.7500  0.46
K 0.3744 0.3744 0.3744  -0.01
K 0.3744 0.3744 0.8767  -0.01
K 0.3744 0.8767 0.3744  -0.01
K 0.8767 0.3744 0.3744  -0.01

electronic total energy: -2.018 eV per atom
V: 183 Å³/cell
magnetization: 0.45 μB/f.u.
formation energy from the elements: 0.71 eV/atom


No. 22
Compound: KAs2Rh
Source: the Alexandria database
Functional: PBE
Structure: optimized geometry

Cell: 4.2727 4.2755 4.2865 Å, 90.00 90.00 90.00°
Positions (direct):
As 0.0000 0.0000 0.0000
As 0.5000 0.5000 0.0000
Rh 0.0000 0.5000 0.5000
K 0.5000 0.0000 0.5000

electronic total energy: -4.069 eV per atom
V: 78 Å³/cell
magnetization: 0.00 μB/f.u.
formation energy from the elements: 0.37 eV/atom
energy above the lowest structure with this stoichiometry: 767 meV per atom


No. 23
Compound: KAs2Rh2
Source: the Alexandria database
Functional: PBE
Structure: optimized geometry

Cell: 4.0925 4.0925 6.0882 Å, 90.00 90.00 90.00°
Positions (direct):
Rh 0.5000 0.0000 0.5000
Rh 0.0000 0.5000 0.5000
As 0.5000 0.5000 0.2635
As 0.5000 0.5000 0.7365
K 0.0000 0.0000 0.0000

electronic total energy: -5.397 eV per atom
V: 102 Å³/cell
magnetization: 0.00 μB/f.u.
formation energy from the elements: -0.38 eV/atom


No. 24
Compound: KAsRh4
Source: the Alexandria database
Functional: PBE
Structure: optimized geometry

Cell: 5.2993 5.2993 5.2993 Å, 60.00 60.00 60.00°
Positions (direct):
As 0.7500 0.7500 0.7500
Rh 0.3760 0.3760 0.8721
Rh 0.8721 0.3760 0.3760
Rh 0.3760 0.3760 0.3760
Rh 0.3760 0.8721 0.3760
K 0.0000 0.0000 0.0000

electronic total energy: -5.403 eV per atom
V: 105 Å³/cell
magnetization: 0.03 μB/f.u.
formation energy from the elements: 0.46 eV/atom


No. 25
Compound: KAs2RuRh
Source: the Alexandria database
Functional: PBE
Structure: optimized geometry

Cell: 4.0872 4.0872 7.2270 Å, 106.43 106.43 90.00°
Positions (direct):
K 0.0000 0.0000 0.0000
As 0.3505 0.3505 0.7011
As 0.6495 0.6495 0.2989
Ru 0.2500 0.7500 0.5000
Rh 0.7500 0.2500 0.5000

electronic total energy: -5.969 eV per atom
V: 111 Å³/cell
magnetization: 0.00 μB/f.u.
formation energy from the elements: -0.56 eV/atom


No. 26
Compound: KAs2RhS8
Source: the Alexandria database
Functional: PBE
Structure: optimized geometry

Cell: 5.7301 5.7301 10.4133 Å, 90.00 90.00 120.00°
Positions (direct):
S 0.0535 0.7008 0.3620
S 0.6473 0.9465 0.3620
S 0.3333 0.6667 0.9101
S 0.9465 0.2992 0.6380
S 0.7008 0.6473 0.6380
S 0.2992 0.3527 0.3620
S 0.3527 0.0535 0.6380
S 0.6667 0.3333 0.0899
Rh 0.0000 0.0000 0.5000
As 0.6667 0.3333 0.2941
As 0.3333 0.6667 0.7059
K 0.0000 0.0000 0.0000

electronic total energy: -4.357 eV per atom
V: 296 Å³/cell
magnetization: 0.01 μB/f.u.


No. 27
Compound: KSbAsRh2
Source: the Alexandria database
Functional: PBE
Structure: optimized geometry

Cell: 4.1146 7.7169 8.2757 Å, 105.61 90.00 90.00°
Positions (direct):
Sb 0.2500 0.7099 0.9238
Sb 0.7500 0.2901 0.0762
As 0.7500 0.3179 0.5769
As 0.2500 0.6821 0.4231
Rh 0.7500 0.5045 0.3801
Rh 0.2500 0.4955 0.6199
Rh 0.2500 0.5065 0.1304
Rh 0.7500 0.4935 0.8696
K 0.2500 0.0660 0.7398
K 0.7500 0.9340 0.2602

electronic total energy: -5.438 eV per atom
V: 253 Å³/cell
magnetization: 0.00 μB/f.u.


No. 28
Compound: K2SbAsRh
Source: the Alexandria database
Functional: PBE
Structure: optimized geometry

Cell: 6.2547 5.2653 6.2547 Å, 90.00 90.00 90.00°
Last column: magnetic moment on the atom in μB.
Positions (direct):
K 0.5000 0.0000 0.0000  0.00
K 0.0000 0.0000 0.5000  0.00
Rh 0.5000 0.5000 0.5000  1.39
Sb 0.0000 0.5000 0.0000  -0.03
As 0.0000 0.0000 0.0000  -0.01

electronic total energy: -2.972 eV per atom
V: 206 Å³/cell
magnetization: 1.53 μB/f.u.